# 1
# MnW2Au | Alexandria | PBE | optimized geometry
data_MnW2Au
_chemical_formula_sum 'Mn4 W8 Au4'
_symmetry_space_group_name_H-M 'F -4 3 m'
_symmetry_Int_Tables_number 216
_symmetry_space_group_name_Hall 'F -4 2 3'
_cell_length_a 6.3430
_cell_length_b 6.3430
_cell_length_c 6.3430
_cell_angle_alpha 90.00
_cell_angle_beta 90.00
_cell_angle_gamma 90.00
loop_
_atom_site_label
_atom_site_type_symbol
_atom_site_fract_x
_atom_site_fract_y
_atom_site_fract_z
Mn1 Mn 0.0000 0.0000 0.0000
W1 W 0.0000 0.0000 0.5000
W2 W 0.2500 0.2500 0.2500
Au1 Au 0.2500 0.2500 0.7500
# **ΔE_f**: 0.436 eV per atom
# **N(E_F)**: 3.71 states/eV/f.u.
# **Calculated volume**: 255.2 Å³ per cell
# **Excess energy over the best structure of this formula in the dataset**: 214 meV per atom


# 2
# K3Rb8Pt | Alexandria | PBE | optimized geometry
data_K3Rb8Pt
_chemical_formula_sum 'K6 Rb16 Pt2'
_symmetry_space_group_name_H-M 'P 63 m c'
_symmetry_Int_Tables_number 186
_symmetry_space_group_name_Hall 'P 6c -2c'
_cell_length_a 14.3165
_cell_length_b 14.3165
_cell_length_c 9.9650
_cell_angle_alpha 90.00
_cell_angle_beta 90.00
_cell_angle_gamma 120.00
loop_
_atom_site_label
_atom_site_type_symbol
_atom_site_fract_x
_atom_site_fract_y
_atom_site_fract_z
K1 K 0.1510 0.3021 0.0000
Rb1 Rb 0.0000 0.0000 0.2486
Rb2 Rb 0.0673 0.5337 0.7432
Rb3 Rb 0.2224 0.4449 0.4558
Rb4 Rb 0.3333 0.6667 0.0109
Pt1 Pt 0.3333 0.6667 0.6612
# **ΔE_f**: 0.035 eV per atom
# **N(E_F)**: 8.17 states/eV/f.u.
# **Calculated volume**: 1768.8 Å³ per cell


What did the second record say?
# K3Rb8Pt | Alexandria | PBE | optimized geometry
data_K3Rb8Pt
_chemical_formula_sum 'K6 Rb16 Pt2'
_symmetry_space_group_name_H-M 'P 63 m c'
_symmetry_Int_Tables_number 186
_symmetry_space_group_name_Hall 'P 6c -2c'
_cell_length_a 14.3165
_cell_length_b 14.3165
_cell_length_c 9.9650
_cell_angle_alpha 90.00
_cell_angle_beta 90.00
_cell_angle_gamma 120.00
loop_
_atom_site_label
_atom_site_type_symbol
_atom_site_fract_x
_atom_site_fract_y
_atom_site_fract_z
K1 K 0.1510 0.3021 0.0000
Rb1 Rb 0.0000 0.0000 0.2486
Rb2 Rb 0.0673 0.5337 0.7432
Rb3 Rb 0.2224 0.4449 0.4558
Rb4 Rb 0.3333 0.6667 0.0109
Pt1 Pt 0.3333 0.6667 0.6612
# **ΔE_f**: 0.035 eV per atom
# **N(E_F)**: 8.17 states/eV/f.u.
# **Calculated volume**: 1768.8 Å³ per cell


> What is the N(E_F) in the first record?

3.71 states/eV/f.u.